The following is a GGA-PBE calculation of crystalline NbSb2Au at its relaxed geometry, from the Alexandria database.

Structure (extended XYZ):
```
4
Lattice="0.000 3.506 3.506 3.506 0.000 3.506 3.506 3.506 0.000" Properties=species:S:1:pos:R:3 pbc="T T T"
Nb 0.000 0.000 0.000
Sb 1.753 1.753 1.753
Sb 5.259 5.259 5.259
Au 3.506 3.506 3.506
```

E_tot   -5.108 eV per atom
Relative energy among the computed polymorphs   0.169 eV per atom

=====

The following is a GGA-PBE calculation of crystalline CaMgPt2 at its relaxed geometry, from the Alexandria database.

Structure (extended XYZ):
```
4
Lattice="3.699 0.000 0.000 0.000 3.699 0.000 0.000 0.000 5.815" Properties=species:S:1:pos:R:3 pbc="T T T"
Ca 0.000 0.000 0.000
Mg 1.849 1.849 2.013
Pt 0.000 0.000 2.913
Pt 1.849 1.849 4.696
```

E_tot   -4.435 eV per atom
E_form   -50 kJ per mole of atoms

=====

The following is a GGA-PBE calculation of crystalline TeSe at its relaxed geometry, from the Alexandria database.

Structure (extended XYZ):
```
4
Lattice="4.639 0.000 0.000 -2.320 4.018 0.000 0.000 0.000 10.373" Properties=species:S:1:pos:R:3 pbc="T T T"
Te 0.000 2.678 0.000
Te 2.320 1.339 5.187
Se 0.000 2.678 5.888
Se 2.320 1.339 0.702
```

E_tot   -3.057 eV per atom

=====

The following is a GGA-PBE calculation of crystalline ScCdIr at its relaxed geometry, from the Alexandria database.

Structure (extended XYZ):
```
3
Lattice="3.119 0.000 0.000 -1.559 2.701 0.000 0.000 0.000 6.864" Properties=species:S:1:pos:R:3 pbc="T T T"
Sc 0.000 0.000 0.000
Cd 1.559 0.900 2.602
Ir 0.000 1.801 4.940
```

E_tot   -5.549 eV per atom
E_form   -17 kJ per mole of atoms

=====

The following is a GGA-PBE calculation of crystalline LiMg2OsC at its relaxed geometry, from the Alexandria database.

Structure (extended XYZ):
```
5
Lattice="4.446 0.000 0.000 0.000 4.446 0.000 0.000 0.000 3.926" Properties=species:S:1:pos:R:3 pbc="T T T"
Li 0.000 0.000 0.000
Mg 0.000 2.223 1.963
Mg 2.223 0.000 1.963
Os 2.223 2.223 0.000
C 2.223 2.223 1.963
```

E_tot   -4.963 eV per atom
E_form   14 kJ per mole of atoms

=====

The following is a GGA-PBE calculation of crystalline SmIn2Cl8 at its relaxed geometry, from the Alexandria database.

Structure (extended XYZ):
```
11
Lattice="7.099 -4.106 0.000 7.099 4.106 0.000 -1.080 0.000 6.876" Properties=species:S:1:pos:R:3 pbc="T T T"
Sm 0.000 0.000 0.000
In 1.944 0.000 4.421
In 11.174 0.000 2.455
Cl 5.626 2.334 1.481
Cl 2.012 0.000 1.857
Cl 7.492 2.334 5.395
Cl 4.205 0.000 5.155
Cl 8.914 0.000 1.720
Cl 5.626 -2.334 1.481
Cl 11.106 0.000 5.018
Cl 7.492 -2.334 5.395
```

E_tot   -3.606 eV per atom

=====

The following is a GGA-PBE calculation of crystalline Tb2Sm3Y5 at its relaxed geometry, from the Alexandria database.

Structure (extended XYZ):
```
20
Lattice="-4.682 11.047 3.424 4.682 -11.047 3.424 4.682 11.047 -3.424" Properties=species:S:1:pos:R:3 pbc="T T T"
Tb 0.859 2.705 0.000
Tb 5.541 8.342 0.000
Tb -0.859 2.705 3.424
Tb 3.823 8.342 3.424
Sm 7.011 2.836 0.000
Sm 0.000 0.000 1.712
Sm 2.329 8.211 0.000
Sm 2.353 2.836 3.424
Sm 0.000 0.000 5.136
Sm -2.329 8.211 3.424
Y 4.682 5.584 -1.712
Y 3.811 2.820 0.000
Y 4.682 0.000 1.712
Y 3.811 -2.820 3.424
Y 0.000 5.463 1.712
Y 4.682 5.584 1.712
Y 0.871 13.866 0.000
Y 0.000 11.047 1.712
Y 0.871 8.227 3.424
Y 0.000 5.463 5.136
```

E_tot   -5.171 eV per atom
E_form   39 kJ per mole of atoms
Relative energy among the computed polymorphs   0.216 eV per atom

=====

The following is a GGA-PBE calculation of crystalline ReHgPb at its relaxed geometry, from the Alexandria database.

Structure (extended XYZ):
```
3
Lattice="-1.711 1.711 5.438 1.711 -1.711 5.438 1.711 1.711 -5.438" Properties=species:S:1:pos:R:3 pbc="T T T"
Re 0.000 0.000 0.000
Hg 0.000 0.000 7.057
Pb 0.000 0.000 3.844
```

E_tot   -4.425 eV per atom
E_form   102 kJ per mole of atoms
Relative energy among the computed polymorphs   0.142 eV per atom

=====

The following is a GGA-PBE calculation of crystalline IrRh7 at its relaxed geometry, from the Alexandria database.

Structure (extended XYZ):
```
8
Lattice="0.000 3.845 3.845 3.845 0.000 3.845 3.845 3.845 0.000" Properties=species:S:1:pos:R:3 pbc="T T T"
Ir 0.000 0.000 0.000
Rh 1.922 1.922 0.000
Rh 1.922 0.000 1.922
Rh 3.845 1.922 1.922
Rh 0.000 1.922 1.922
Rh 1.922 3.845 1.922
Rh 1.922 1.922 3.845
Rh 3.845 3.845 3.845
```

E_tot   -7.546 eV per atom
E_form   -1 kJ per mole of atoms

=====

The following is a GGA-PBE calculation of crystalline Pm2Nd6Er3 at its relaxed geometry, from the Alexandria database.

Structure (extended XYZ):
```
11
Lattice="6.281 0.000 0.000 -2.074 7.819 0.000 -1.033 -2.797 7.557" Properties=species:S:1:pos:R:3 pbc="T T T"
Pm 0.539 3.074 0.362
Pm 2.634 1.947 7.196
Nd -1.549 4.191 3.098
Nd 0.523 -0.289 1.749
Nd -0.488 3.624 6.534
Nd 3.661 1.397 1.024
Nd 2.650 5.311 5.809
Nd 4.722 0.831 4.459
Er 1.587 -0.830 5.143
Er 1.587 2.511 3.779
Er 1.586 5.852 2.415
```

E_tot   -4.693 eV per atom
E_form   2 kJ per mole of atoms
Relative energy among the computed polymorphs   0.000 eV per atom

=====

The following is a GGA-PBE calculation of crystalline Pa2SbSe2N at its relaxed geometry, from the Alexandria database.

Structure (extended XYZ):
```
12
Lattice="-3.787 6.655 2.845 3.787 -6.655 2.845 3.787 6.655 -2.845" Properties=species:S:1:pos:R:3 pbc="T T T"
Pa 1.201 1.372 0.000
Pa 1.201 -1.372 2.845
Pa 2.586 8.027 0.000
Pa 2.586 5.284 2.845
Sb 3.787 0.000 1.423
Sb 0.000 6.655 1.423
Se 2.478 -4.036 2.845
Se 2.478 4.036 0.000
Se 1.309 2.620 2.845
Se 1.309 10.691 0.000
N 0.000 0.000 1.423
N 0.000 0.000 4.268
```

E_tot   -7.672 eV per atom

=====

The following is a GGA-PBE calculation of crystalline CrBi2Os at its relaxed geometry, from the Alexandria database.

Structure (extended XYZ):
```
4
Lattice="0.000 3.371 3.371 3.371 0.000 3.371 3.371 3.371 0.000" Properties=species:S:1:pos:R:3 pbc="T T T"
Cr 0.000 0.000 0.000
Bi 1.685 1.685 1.685
Bi 5.056 5.056 5.056
Os 3.371 3.371 3.371
```

E_tot   -6.192 eV per atom
E_form   93 kJ per mole of atoms
Relative energy among the computed polymorphs   0.000 eV per atom

=====

The following is a GGA-PBE calculation of crystalline CeDy3Ga4 at its relaxed geometry, from the Alexandria database.

Structure (extended XYZ):
```
8
Lattice="2.533 1.462 8.338 -2.533 1.462 8.338 0.000 -2.925 8.338" Properties=species:S:1:pos:R:3 pbc="T T T"
Ce 0.000 0.000 0.000
Dy 0.000 0.000 6.235
Dy 0.000 0.000 12.506
Dy 0.000 0.000 18.778
Ga 0.000 0.000 3.156
Ga 0.000 0.000 9.412
Ga 0.000 0.000 15.601
Ga 0.000 0.000 21.857
```

E_tot   -4.532 eV per atom
E_form   -53 kJ per mole of atoms

=====

The following is a GGA-PBE calculation of crystalline VCrHRu2 at its relaxed geometry, from the Alexandria database.

Structure (extended XYZ):
```
5
Lattice="3.912 0.000 0.000 0.000 3.912 0.000 0.000 0.000 3.669" Properties=species:S:1:pos:R:3 pbc="T T T"
V 0.000 0.000 0.000
Cr 1.956 1.956 0.000
H 1.956 1.956 1.834
Ru 0.000 1.956 1.834
Ru 1.956 0.000 1.834
```

E_tot   -8.135 eV per atom
Relative energy among the computed polymorphs   0.000 eV per atom

=====

The following is a GGA-PBE calculation of crystalline TbLuMn2 at its relaxed geometry, from the Alexandria database.

Structure (extended XYZ):
```
4
Lattice="4.896 0.000 0.000 0.000 4.896 0.000 0.000 0.000 3.557" Properties=species:S:1:pos:R:3 pbc="T T T"
Tb 0.000 0.000 0.000
Lu 2.448 2.448 0.000
Mn 0.000 2.448 1.778
Mn 2.448 0.000 1.778
```

E_tot   -6.687 eV per atom
E_form   18 kJ per mole of atoms

=====

The following is a GGA-PBE calculation of crystalline TaSi5 at its relaxed geometry, from the Alexandria database.

Structure (extended XYZ):
```
6
Lattice="4.580 -1.735 0.000 4.580 1.735 0.000 -1.515 0.000 5.543" Properties=species:S:1:pos:R:3 pbc="T T T"
Ta 0.000 0.000 0.000
Si -0.242 0.000 3.186
Si 2.742 0.000 1.186
Si 2.260 0.000 3.594
Si 5.522 0.000 1.917
Si 5.079 0.000 4.960
```

E_tot   -6.387 eV per atom
Relative energy among the computed polymorphs   0.000 eV per atom

=====

The following is a GGA-PBE calculation of crystalline LaRe2Sb at its relaxed geometry, from the Alexandria database.

Structure (extended XYZ):
```
4
Lattice="-1.782 2.379 4.918 1.782 -2.379 4.918 1.782 2.379 -4.918" Properties=species:S:1:pos:R:3 pbc="T T T"
La 0.000 0.000 0.000
Re 1.782 0.000 2.440
Re 0.000 2.379 2.478
Sb 0.000 0.000 4.918
```

E_tot   -7.675 eV per atom

=====

The following is a GGA-PBE calculation of crystalline YTlBr2Cl at its relaxed geometry, from the Alexandria database.

Structure (extended XYZ):
```
5
Lattice="5.667 0.000 0.000 0.000 5.667 0.000 0.000 0.000 5.301" Properties=species:S:1:pos:R:3 pbc="T T T"
Y 0.000 0.000 0.000
Tl 2.833 2.833 2.650
Br 0.000 2.833 0.000
Br 2.833 0.000 0.000
Cl 0.000 0.000 2.650
```

E_tot   -4.118 eV per atom

=====

The following is a GGA-PBE calculation of crystalline InPdF2 at its relaxed geometry, from the Alexandria database.

Structure (extended XYZ):
```
4
Lattice="1.523 0.879 7.859 -1.523 0.879 7.859 0.000 -1.758 7.859" Properties=species:S:1:pos:R:3 pbc="T T T"
In 0.000 0.000 0.000
Pd 0.000 0.000 11.789
F 0.000 0.000 9.750
F 0.000 0.000 13.827
```

E_tot   -4.029 eV per atom
Relative energy among the computed polymorphs   0.055 eV per atom

=====

The following is a GGA-PBE calculation of crystalline Sr2BeSb at its relaxed geometry, from the Alexandria database.

Structure (extended XYZ):
```
4
Lattice="-2.075 2.342 6.913 2.075 -2.342 6.913 2.075 2.342 -6.913" Properties=species:S:1:pos:R:3 pbc="T T T"
Sr 0.000 0.000 0.000
Sr 0.000 2.342 3.346
Be 2.075 0.000 4.389
Sb 0.000 0.000 5.829
```

E_tot   -3.049 eV per atom
Relative energy among the computed polymorphs   0.128 eV per atom

=====

The following is a GGA-PBE calculation of crystalline Ca2Ce4Sb3H2 at its relaxed geometry, from the Alexandria database.

Structure (extended XYZ):
```
11
Lattice="-2.347 2.347 12.956 2.347 -2.347 12.956 2.347 2.347 -12.956" Properties=species:S:1:pos:R:3 pbc="T T T"
Ca 0.000 0.000 5.185
Ca 0.000 0.000 20.728
Ce 2.347 0.000 2.179
Ce 2.347 0.000 10.777
Ce 0.000 2.347 2.179
Ce 0.000 2.347 10.777
Sb 0.000 0.000 8.407
Sb 0.000 0.000 12.956
Sb 0.000 0.000 17.506
H 0.000 0.000 2.725
H 0.000 0.000 23.188
```

E_tot   -4.965 eV per atom

=====

The following is a GGA-PBE calculation of crystalline Np2U2Se7 at its relaxed geometry, from the Alexandria database.

Structure (extended XYZ):
```
11
Lattice="4.746 0.000 0.000 0.000 4.746 0.000 0.000 0.000 13.900" Properties=species:S:1:pos:R:3 pbc="T T T"
Np 0.000 2.373 1.633
Np 2.373 0.000 12.267
U 0.000 2.373 5.151
U 2.373 0.000 8.749
Se 0.000 0.000 0.000
Se 0.000 0.000 3.782
Se 0.000 0.000 10.118
Se 2.373 2.373 0.000
Se 2.373 2.373 3.441
Se 2.373 2.373 6.950
Se 2.373 2.373 10.459
```

E_tot   -7.487 eV per atom
Relative energy among the computed polymorphs   0.253 eV per atom

=====

The following is a GGA-PBE calculation of crystalline Ac6TbEr at its relaxed geometry, from the Alexandria database.

Structure (extended XYZ):
```
8
Lattice="-2.787 2.787 10.700 2.787 -2.787 10.700 2.787 2.787 -10.700" Properties=species:S:1:pos:R:3 pbc="T T T"
Ac 2.787 0.000 2.491
Ac 0.000 0.000 5.343
Ac 2.787 0.000 8.209
Ac 0.000 2.787 2.491
Ac 0.000 0.000 16.057
Ac 0.000 2.787 8.209
Tb 0.000 0.000 0.000
Er 0.000 0.000 10.700
```

E_tot   -4.182 eV per atom
E_form   5 kJ per mole of atoms

=====

The following is a GGA-PBE calculation of crystalline PrHo3Si2 at its relaxed geometry, from the Alexandria database.

Structure (extended XYZ):
```
12
Lattice="8.539 -2.160 0.000 8.539 2.160 0.000 -3.485 0.000 8.482" Properties=species:S:1:pos:R:3 pbc="T T T"
Pr 1.498 0.000 1.166
Pr 12.095 0.000 7.316
Ho -1.603 0.000 5.908
Ho 4.870 0.000 0.987
Ho 4.150 0.000 4.396
Ho 9.442 0.000 4.086
Ho 8.723 0.000 7.495
Ho 15.196 0.000 2.574
Si 1.528 0.000 6.017
Si 7.874 0.000 1.043
Si 5.718 0.000 7.439
Si 12.065 0.000 2.465
```

E_tot   -5.385 eV per atom

=====

The following is a GGA-PBE calculation of crystalline Rb2Tl6GaPb at its relaxed geometry, from the Alexandria database.

Structure (extended XYZ):
```
20
Lattice="3.924 2.265 14.148 -3.924 2.265 14.148 0.000 -4.531 14.148" Properties=species:S:1:pos:R:3 pbc="T T T"
Rb 0.000 0.000 4.378
Rb 0.000 0.000 11.736
Rb 0.000 0.000 30.707
Rb 0.000 0.000 38.065
Tl -2.266 -1.309 19.983
Tl 0.000 -1.893 15.280
Tl -1.640 0.947 15.280
Tl 0.000 -2.617 22.460
Tl -2.266 1.309 22.460
Tl -1.640 -0.947 27.163
Tl 1.640 0.947 15.280
Tl 2.266 -1.309 19.983
Tl 0.000 2.617 19.983
Tl 1.640 -0.947 27.163
Tl 0.000 1.893 27.163
Tl 2.266 1.309 22.460
Ga 0.000 0.000 0.000
Ga 0.000 0.000 21.221
Pb 0.000 0.000 18.022
Pb 0.000 0.000 24.421
```

E_tot   -2.291 eV per atom
E_form   0 kJ per mole of atoms

=====

Number 1: calculated density 10.28 g/cm³. Number 2: calculated density 9.49 g/cm³. Number 3: calculated density 3.55 g/cm³. Number 4: calculated density 10.04 g/cm³. Number 5: calculated density 5.52 g/cm³. Number 6: calculated density 2.75 g/cm³. Number 7: calculated density 5.69 g/cm³. Number 8: calculated density 15.49 g/cm³. Number 9: calculated density 13.33 g/cm³. Number 10: calculated density 7.41 g/cm³. Number 11: calculated density 8.75 g/cm³. Number 12: calculated density 14.31 g/cm³. Number 13: calculated density 8.12 g/cm³. Number 14: calculated density 9.05 g/cm³. Number 15: calculated density 8.64 g/cm³. Number 16: calculated density 6.06 g/cm³. Number 17: calculated density 12.61 g/cm³. Number 18: calculated density 4.77 g/cm³. Number 19: calculated density 6.82 g/cm³. Number 20: calculated density 3.78 g/cm³. Number 21: calculated density 5.86 g/cm³. Number 22: calculated density 7.97 g/cm³. Number 23: calculated density 8.43 g/cm³. Number 24: calculated density 7.34 g/cm³. Number 25: calculated density 7.37 g/cm³.